No. 1
DFT (GGA-PBE) results for a relaxed structure of Ac3RhI3.

```
Ac3RhI3
1.0
-2.307 0.833 3.626
5.083 -7.157 4.879
8.599 9.495 3.289
Ac I Rh
6 6 2
Direct
0.750 0.086 0.392
0.750 0.682 0.376
0.250 0.877 0.156
0.750 0.123 0.844
0.250 0.914 0.608
0.250 0.318 0.624
0.250 0.390 0.369
0.250 0.864 0.886
0.250 0.385 0.880
0.750 0.610 0.631
0.750 0.136 0.114
0.750 0.615 0.120
0.250 0.881 0.378
0.750 0.119 0.622
```

Summary:
- Energy relative to the elements, uncorrected: -1.180 eV/atom

=====

No. 2
DFT (GGA-PBE) results for a relaxed structure of Ac6Rh3I.

```
Ac6Rh3I
1.0
-1.759 -3.397 1.989
-8.001 -1.184 -9.095
12.753 -7.910 -2.229
Ac I Rh
12 2 6
Direct
0.250 0.966 0.719
0.250 0.351 0.420
0.750 0.256 0.860
0.750 0.550 0.287
0.750 0.138 0.078
0.250 0.450 0.713
0.750 0.156 0.571
0.750 0.649 0.580
0.750 0.034 0.281
0.250 0.744 0.140
0.250 0.862 0.922
0.250 0.844 0.429
0.750 0.605 0.925
0.250 0.395 0.075
0.750 0.397 0.566
0.250 0.000 0.134
0.750 0.000 0.866
0.250 0.603 0.434
0.250 0.208 0.716
0.750 0.792 0.284
```

Summary:
- Energy relative to the elements, uncorrected: -0.684 eV/atom

=====

No. 3
DFT (GGA-PBE) results for a relaxed structure of Ac4Rh2I5.

```
Ac4Rh2I5
1.0
4.250 0.000 0.000
0.000 10.198 0.000
-2.125 -5.099 10.178
Ac I Rh
4 5 2
Direct
0.000 0.292 0.000
0.331 0.331 0.663
0.000 0.708 0.000
0.669 0.669 0.337
0.160 0.395 0.320
0.840 0.605 0.680
0.840 0.075 0.680
0.160 0.925 0.320
0.500 0.000 0.000
0.212 0.212 0.424
0.788 0.788 0.576
```

Summary:
- Energy relative to the elements, uncorrected: -0.600 eV/atom

=====

No. 4
DFT (GGA-PBE) results for a relaxed structure of Ac2RhI2.

```
Ac2RhI2
1.0
4.341 0.000 0.681
2.117 3.790 0.682
0.298 0.177 12.265
I Ac Rh
2 2 1
Direct
0.888 0.888 0.336
0.112 0.112 0.664
0.380 0.381 0.859
0.620 0.619 0.141
0.000 0.000 0.000
```

Summary:
- Energy relative to the elements, uncorrected: -1.087 eV/atom

=====

No. 5
DFT (GGA-PBE) results for a relaxed structure of Ac2RhI.

```
Ac2RhI
1.0
-1.601 -0.285 -3.398
0.218 -3.755 0.213
-8.033 -0.250 3.807
Ac I Rh
2 1 1
Direct
0.000 0.000 0.203
0.000 0.000 0.797
0.500 0.500 0.500
0.500 0.500 0.000
```

Summary:
- Energy relative to the elements, uncorrected: -0.754 eV/atom

=====

No. 6
DFT (GGA-PBE) results for a relaxed structure of Ac2RhI.

```
Ac2RhI
1.0
4.339 0.010 -0.527
-2.149 3.770 0.526
-1.139 -1.868 8.780
Ac Rh I
2 1 1
Direct
0.479 0.981 0.236
0.567 0.525 0.867
0.023 0.253 0.052
0.023 0.753 0.552
```

Summary:
- Energy relative to the elements, uncorrected: -1.039 eV/atom